## K3CdOs2O9 (PBE)

Data for a relaxed structure of K3CdOs2O9.

Values from the calculation:
Symmetry: No. 164
Energy relative to the elements, uncorrected, eV per formula unit: -18.828

The structure in POSCAR format:
```
K3CdOs2O9
1.0
5.718 0.000 0.000
-2.859 4.952 0.000
0.000 0.000 7.217
O K Os Cd
9 3 2 1
Direct
0.178 0.822 0.301
0.000 0.500 0.000
0.178 0.357 0.301
0.500 0.000 0.000
0.643 0.822 0.301
0.500 0.500 0.000
0.357 0.178 0.699
0.822 0.643 0.699
0.822 0.178 0.699
0.333 0.667 0.661
0.000 0.000 0.000
0.667 0.333 0.339
0.333 0.667 0.156
0.667 0.333 0.844
0.000 0.000 0.500
```



## TlAsN3 (PBE)

Data for a relaxed structure of TlAsN3.

Values from the calculation:
Symmetry: No. 221
Energy relative to the elements, uncorrected, eV per formula unit: 7.761

The structure in POSCAR format:
```
TlAsN3
1.0
3.868 0.000 0.000
0.000 3.868 0.000
0.000 0.000 3.868
N Tl As
3 1 1
Direct
0.500 0.000 0.000
0.000 0.000 0.500
0.000 0.500 0.000
0.500 0.500 0.500
0.000 0.000 0.000
```



## TbNd4Sb4 (PBE)

Data for a relaxed structure of TbNd4Sb4.

Values from the calculation:
Symmetry: No. 121
Energy relative to the elements, uncorrected, eV per formula unit: -5.822

The structure in POSCAR format:
```
TbNd4Sb4
1.0
8.094 0.000 0.000
0.000 8.094 0.000
-4.047 -4.047 4.998
Sb Nd Tb
4 4 1
Direct
0.375 0.908 0.283
0.092 0.092 0.717
0.625 0.625 0.717
0.908 0.375 0.283
0.500 0.000 0.000
0.328 0.328 0.656
0.000 0.500 0.000
0.672 0.672 0.344
0.000 0.000 0.000
```



## MgAg2 (PBE)

Data for a relaxed structure of MgAg2.

Values from the calculation:
Formation energy, eV per formula unit: -0.5
Symmetry: No. 139

The structure in POSCAR format:
```
MgAg2
1.0
-3.434 -3.917 1.038
1.230 -5.060 1.047
1.223 5.003 1.300
Mg Ag
1 2
Direct
0.333 0.333 0.000
0.670 0.670 0.000
0.997 0.997 0.000
```



## Zr2VIr (PBE)

Data for a relaxed structure of Zr2VIr.

Values from the calculation:
Formation energy, eV per formula unit: -1.6
Symmetry: No. 123

The structure in POSCAR format:
```
Zr2VIr
1.0
-0.034 1.287 -3.103
1.366 -4.102 -1.716
-4.446 -1.279 -0.482
V Ir Zr
1 1 2
Direct
0.500 0.500 0.500
0.500 0.000 0.000
0.000 0.500 0.000
0.000 0.000 0.500
```



## MnBTeAu (PBE)

Data for a relaxed structure of MnBTeAu.

Values from the calculation:
Symmetry: No. 8
Energy relative to the elements, uncorrected, eV per formula unit: 1.353

The structure in POSCAR format:
```
MnBTeAu
1.0
5.335 0.000 0.012
0.000 3.237 0.000
-0.708 0.000 8.645
Au Te Mn B
2 2 2 2
Direct
0.672 0.000 0.097
0.672 0.500 0.597
0.080 0.000 0.324
0.080 0.500 0.824
0.178 0.500 0.545
0.178 0.000 0.045
0.395 0.500 0.066
0.395 0.000 0.566
```